--- a ---
The following is a DFT calculation (PBE) of a geometry-optimized ZnCu2P structure.

Unit cell a=8.019 b=2.775 c=4.866 alpha=90.00 beta=100.39 gamma=90.00
Space group C2/m (No. 12)
Asymmetric unit:
Zn 0.000 0.000 0.000 (multiplicity 2)
Cu 0.247 0.000 0.745 (multiplicity 4)
P 0.000 0.500 0.500 (multiplicity 2)

Total moment = 0.00 Bohr magnetons per cell
Crystal system = monoclinic

=====

--- b ---
The following is a DFT calculation (PBE) of a geometry-optimized ZnCu2P structure.

Unit cell a=2.730 b=3.866 c=5.150 alpha=90.00 beta=90.39 gamma=90.00
Space group P2/m (No. 10)
Asymmetric unit:
Zn 0.000 0.000 0.000 (multiplicity 1)
Cu 0.494 0.500 0.240 (multiplicity 2)
P 0.500 0.000 0.500 (multiplicity 1)

Total moment = 0.00 Bohr magnetons per cell
Crystal system = monoclinic

=====

--- c ---
The following is a DFT calculation (PBE) of a geometry-optimized ZnCu2P structure.

Unit cell a=2.646 b=2.646 c=7.766 alpha=90.00 beta=90.00 gamma=90.00
Space group P4mm (No. 99)
Asymmetric unit:
Zn 0.000 0.000 0.000 (multiplicity 1)
Cu 0.000 0.000 0.463 (multiplicity 1)
Cu 0.500 0.500 0.230 (multiplicity 1)
P 0.500 0.500 0.693 (multiplicity 1)

Total moment = 0.00 Bohr magnetons per cell
Crystal system = tetragonal

=====

Quick one: most stable of them? b

=====

--- a ---
The following is a DFT calculation (PBE) of a geometry-optimized ZnCu2P structure.

Unit cell a=3.699 b=3.699 c=7.647 alpha=90.00 beta=90.00 gamma=90.00
Space group I4/mmm (No. 139)
Asymmetric unit:
Zn 0.000 0.000 0.000 (multiplicity 2)
Cu 0.000 0.500 0.250 (multiplicity 4)
P 0.000 0.000 0.500 (multiplicity 2)

Total moment = 0.00 Bohr magnetons per cell
Crystal system = tetragonal

=====

--- b ---
The following is a DFT calculation (PBE) of a geometry-optimized ZnCu2P structure.

Unit cell a=2.7873 b=2.7873 c=23.7300 alpha=90.00 beta=90.00 gamma=120.00
Space group R-3m (No. 166, hexagonal axes)
Asymmetric unit:
Zn 0.0000 0.0000 0.0000 (multiplicity 3)
Cu 0.0000 0.0000 0.2457 (multiplicity 6)
P 0.0000 0.0000 0.5000 (multiplicity 3)

Total moment = 0.00 Bohr magnetons per cell
Crystal system = trigonal

=====

Quick one: most stable of them? a

=====

--- a ---
The following is a DFT calculation (PBE) of a geometry-optimized Zr2CuP2 structure.

Unit cell a=3.431 b=3.431 c=14.723 alpha=90.00 beta=90.00 gamma=90.00
Space group I4/mmm (No. 139)
Asymmetric unit:
Zr 0.000 0.000 0.110 (multiplicity 4)
Cu 0.000 0.000 0.500 (multiplicity 2)
P 0.000 0.500 0.250 (multiplicity 4)

Total moment = 0.00 Bohr magnetons per cell
Crystal system = tetragonal

=====

--- b ---
The following is a DFT calculation (PBE) of a geometry-optimized Zr2CuP2 structure.

Unit cell a=6.895 b=6.895 c=3.524 alpha=90.00 beta=90.00 gamma=90.00
Space group P4/mbm (No. 127)
Asymmetric unit:
Zr 0.156 0.344 0.000 (multiplicity 4)
Cu 0.000 0.000 0.500 (multiplicity 2)
P 0.148 0.648 0.500 (multiplicity 4)

Total moment = 0.00 Bohr magnetons per cell
Crystal system = tetragonal

=====

Quick one: most stable of them? b

=====

--- a ---
The following is a DFT calculation (PBE) of a geometry-optimized Zr4CuP structure.

Unit cell a=6.545 b=6.545 c=5.333 alpha=90.00 beta=90.00 gamma=90.00
Space group P4/mcc (No. 124)
Asymmetric unit:
Zr 0.153 0.339 0.000 (multiplicity 8)
Cu 0.500 0.500 0.250 (multiplicity 2)
P 0.000 0.000 0.250 (multiplicity 2)

Total moment = 0.00 Bohr magnetons per cell
Crystal system = tetragonal

=====

--- b ---
The following is a DFT calculation (PBE) of a geometry-optimized Zr4CuP structure.

Unit cell a=7.948 b=7.948 c=7.948 alpha=90.00 beta=90.00 gamma=90.00
Space group F-43m (No. 216)
Asymmetric unit:
Zr 0.125 0.125 0.125 (multiplicity 16)
Cu 0.250 0.250 0.750 (multiplicity 4)
P 0.000 0.000 0.500 (multiplicity 4)

Total moment = 0.00 Bohr magnetons per cell
Crystal system = cubic

=====

Quick one: most stable of them? a

=====

--- a ---
The following is a DFT calculation (PBE) of a geometry-optimized Zr2Cu2P structure.

Unit cell a=4.503 b=4.503 c=9.551 alpha=90.00 beta=90.00 gamma=90.00
Space group I4/mmm (No. 139)
Asymmetric unit:
Zr 0.000 0.500 0.250 (multiplicity 4)
Cu 0.000 0.000 0.113 (multiplicity 4)
P 0.000 0.000 0.500 (multiplicity 2)

Total moment = 0.00 Bohr magnetons per cell
Crystal system = tetragonal

=====

--- b ---
The following is a DFT calculation (PBE) of a geometry-optimized Zr2Cu2P structure.

Unit cell a=6.293 b=6.293 c=4.154 alpha=90.00 beta=90.00 gamma=90.00
Space group P4/mbm (No. 127)
Asymmetric unit:
Zr 0.168 0.332 0.000 (multiplicity 4)
Cu 0.135 0.635 0.500 (multiplicity 4)
P 0.000 0.000 0.500 (multiplicity 2)

Total moment = 0.00 Bohr magnetons per cell
Crystal system = tetragonal

=====

Quick one: most stable of them? b

=====

--- a ---
The following is a DFT calculation (PBE) of a geometry-optimized Pa2CuPd structure.

Unit cell a=3.618 b=3.618 c=6.306 alpha=90.00 beta=90.00 gamma=90.00
Space group P4/mmm (No. 123)
Asymmetric unit:
Pa 0.000 0.000 0.240 (multiplicity 2)
Cu 0.500 0.500 0.000 (multiplicity 1)
Pd 0.500 0.500 0.500 (multiplicity 1)

Total moment = 0.00 Bohr magnetons per cell
Crystal system = tetragonal

=====

--- b ---
The following is a DFT calculation (PBE) of a geometry-optimized Pa2CuPd structure.

Unit cell a=3.0766 b=3.0766 c=30.4886 alpha=90.00 beta=90.00 gamma=120.00
Space group R-3m (No. 166, hexagonal axes)
Asymmetric unit:
Pa 0.0000 0.0000 0.0885 (multiplicity 6)
Cu 0.0000 0.0000 0.5000 (multiplicity 3)
Pd 0.0000 0.0000 0.0000 (multiplicity 3)

Total moment = 0.00 Bohr magnetons per cell
Crystal system = trigonal

=====

Quick one: most stable of them? a

=====

--- a ---
The following is a DFT calculation (PBE) of a geometry-optimized PaCuPd6 structure.

Unit cell a=5.858 b=9.903 c=5.662 alpha=90.00 beta=120.62 gamma=90.00
Space group C2/m (No. 12)
Asymmetric unit:
Pa 0.000 0.000 0.000 (multiplicity 2)
Cu 0.000 0.500 0.500 (multiplicity 2)
Pd 0.238 0.275 0.746 (multiplicity 8)
Pd 0.239 0.500 0.247 (multiplicity 4)

Total moment = 0.00 Bohr magnetons per cell
Crystal system = monoclinic

=====

--- b ---
The following is a DFT calculation (PBE) of a geometry-optimized PaCuPd6 structure.

Unit cell a=5.684 b=5.684 c=4.038 alpha=90.00 beta=90.00 gamma=90.00
Space group P4/mmm (No. 123)
Asymmetric unit:
Pa 0.000 0.000 0.000 (multiplicity 1)
Cu 0.500 0.500 0.000 (multiplicity 1)
Pd 0.000 0.500 0.000 (multiplicity 2)
Pd 0.254 0.254 0.500 (multiplicity 4)

Total moment = 0.00 Bohr magnetons per cell
Crystal system = tetragonal

=====

Quick one: most stable of them? b

=====

--- a ---
The following is a DFT calculation (PBE) of a geometry-optimized PaCuPd4 structure.

Unit cell a=7.471 b=7.471 c=7.471 alpha=90.00 beta=90.00 gamma=90.00
Space group F-43m (No. 216)
Asymmetric unit:
Pa 0.000 0.000 0.000 (multiplicity 4)
Cu 0.250 0.250 0.250 (multiplicity 4)
Pd 0.124 0.124 0.624 (multiplicity 16)

Total moment = 0.00 Bohr magnetons per cell
Crystal system = cubic

=====

--- b ---
The following is a DFT calculation (PBE) of a geometry-optimized PaCuPd4 structure.

Unit cell a=5.234 b=5.625 c=7.292 alpha=83.69 beta=72.70 gamma=84.23
Space group P-1 (No. 2)
Asymmetric unit:
Pa 0.194 0.223 0.140 (multiplicity 2)
Cu 0.281 0.797 0.474 (multiplicity 2)
Pd 0.183 0.724 0.142 (multiplicity 2)
Pd 0.210 0.313 0.484 (multiplicity 2)
Pd 0.327 0.001 0.781 (multiplicity 2)
Pd 0.334 0.501 0.789 (multiplicity 2)

Total moment = 0.00 Bohr magnetons per cell
Crystal system = triclinic

=====

Quick one: most stable of them? b

=====

--- a ---
The following is a DFT calculation (PBE) of a geometry-optimized PrPaCu2 structure.

Unit cell a=3.4529 b=3.4529 c=26.3317 alpha=90.00 beta=90.00 gamma=120.00
Space group R-3m (No. 166, hexagonal axes)
Asymmetric unit:
Pr 0.0000 0.0000 0.0000 (multiplicity 3)
Pa 0.0000 0.0000 0.5000 (multiplicity 3)
Cu 0.0000 0.0000 0.2464 (multiplicity 6)

Total moment = 0.00 Bohr magnetons per cell
Crystal system = trigonal

=====

--- b ---
The following is a DFT calculation (PBE) of a geometry-optimized PrPaCu2 structure.

Unit cell a=3.237 b=3.237 c=8.099 alpha=90.00 beta=90.00 gamma=90.00
Space group P4/mmm (No. 123)
Asymmetric unit:
Pr 0.000 0.000 0.000 (multiplicity 1)
Pa 0.000 0.000 0.500 (multiplicity 1)
Cu 0.500 0.500 0.265 (multiplicity 2)

Total moment = 0.00 Bohr magnetons per cell
Crystal system = tetragonal

=====

Quick one: most stable of them? b

=====

--- a ---
The following is a DFT calculation (PBE) of a geometry-optimized Pa2CuPt structure.

Unit cell a=6.935 b=6.935 c=6.935 alpha=90.00 beta=90.00 gamma=90.00
Space group Fm-3m (No. 225)
Asymmetric unit:
Pa 0.250 0.250 0.250 (multiplicity 8)
Cu 0.000 0.000 0.000 (multiplicity 4)
Pt 0.000 0.000 0.500 (multiplicity 4)

Total moment = 0.01 Bohr magnetons per cell
Crystal system = cubic

=====

--- b ---
The following is a DFT calculation (PBE) of a geometry-optimized Pa2CuPt structure.

Unit cell a=3.624 b=3.624 c=6.299 alpha=90.00 beta=90.00 gamma=90.00
Space group P4/mmm (No. 123)
Asymmetric unit:
Pa 0.000 0.000 0.244 (multiplicity 2)
Cu 0.500 0.500 0.000 (multiplicity 1)
Pt 0.500 0.500 0.500 (multiplicity 1)

Total moment = 0.00 Bohr magnetons per cell
Crystal system = tetragonal

=====

--- c ---
The following is a DFT calculation (PBE) of a geometry-optimized Pa2CuPt structure.

Unit cell a=4.368 b=4.368 c=4.193 alpha=90.00 beta=90.00 gamma=90.00
Space group P4/mmm (No. 123)
Asymmetric unit:
Pa 0.000 0.500 0.000 (multiplicity 2)
Cu 0.000 0.000 0.500 (multiplicity 1)
Pt 0.500 0.500 0.500 (multiplicity 1)

Total moment = 0.00 Bohr magnetons per cell
Crystal system = tetragonal

=====

Quick one: most stable of them? c

=====

--- a ---
The following is a DFT calculation (PBE) of a geometry-optimized PaCu2Pt structure.

Unit cell a=4.294 b=9.348 c=7.243 alpha=90.00 beta=90.00 gamma=90.00
Space group Cmcm (No. 63)
Asymmetric unit:
Pa 0.000 0.057 0.250 (multiplicity 4)
Cu 0.000 0.256 0.582 (multiplicity 8)
Pt 0.000 0.369 0.250 (multiplicity 4)

Total moment = 0.00 Bohr magnetons per cell
Crystal system = orthorhombic

=====

--- b ---
The following is a DFT calculation (PBE) of a geometry-optimized PaCu2Pt structure.

Unit cell a=6.462 b=6.462 c=6.462 alpha=90.00 beta=90.00 gamma=90.00
Space group Fm-3m (No. 225)
Asymmetric unit:
Pa 0.000 0.000 0.000 (multiplicity 4)
Cu 0.250 0.250 0.250 (multiplicity 8)
Pt 0.000 0.000 0.500 (multiplicity 4)

Total moment = 0.00 Bohr magnetons per cell
Crystal system = cubic

=====

Quick one: most stable of them? b

=====

--- a ---
The following is a DFT calculation (PBE) of a geometry-optimized PuPa2Cu structure.

Unit cell a=6.947 b=6.947 c=6.947 alpha=90.00 beta=90.00 gamma=90.00
Space group Fm-3m (No. 225)
Asymmetric unit:
Pu 0.000 0.000 0.000 (multiplicity 4)
Pa 0.250 0.250 0.250 (multiplicity 8)
Cu 0.000 0.000 0.500 (multiplicity 4)

Total moment = 25.26 Bohr magnetons per cell
Crystal system = cubic

=====

--- b ---
The following is a DFT calculation (PBE) of a geometry-optimized PuPa2Cu structure.

Unit cell a=5.150 b=5.150 c=3.172 alpha=90.00 beta=90.00 gamma=90.00
Space group P4/mmm (No. 123)
Asymmetric unit:
Pu 0.000 0.000 0.000 (multiplicity 1)
Pa 0.000 0.500 0.500 (multiplicity 2)
Cu 0.500 0.500 0.000 (multiplicity 1)

Total moment = 3.93 Bohr magnetons per cell
Crystal system = tetragonal

=====

--- c ---
The following is a DFT calculation (PBE) of a geometry-optimized PuPa2Cu structure.

Unit cell a=3.1193 b=3.1193 c=31.8454 alpha=90.00 beta=90.00 gamma=120.00
Space group R-3m (No. 166, hexagonal axes)
Asymmetric unit:
Pu 0.0000 0.0000 0.0000 (multiplicity 3)
Pa 0.0000 0.0000 0.0920 (multiplicity 6)
Cu 0.0000 0.0000 0.5000 (multiplicity 3)

Total moment = 16.16 Bohr magnetons per cell
Crystal system = trigonal

=====

Quick one: most stable of them? b